# 1
The following is a DFT calculation (PBE) of a relaxed LiTi2VH crystal.

Geometry as POSCAR:
```
LiTi2VH
1.0
-4.1962 -2.3095 0.3272
1.1550 -2.3578 -1.8300
1.5617 -2.2813 3.9250
H Ti Li V
1 2 1 1
direct
0.0000 0.5000 0.0000
0.0000 0.0000 0.5000
0.5000 0.0000 0.0000
0.5000 0.5000 0.5000
0.0000 0.0000 0.0000
```

E (eV/atom): -5.35

---

# 2
The following is a DFT calculation (PBE) of a relaxed ZrZnN2 crystal.

Geometry as POSCAR:
```
ZrZnN2
1.0
3.3074 0.0000 0.0000
-1.6537 2.8643 0.0000
0.0000 0.0000 5.3389
Zn Zr N
1 1 2
direct
0.6667 0.3333 0.4502
0.0000 0.0000 0.0027
0.3333 0.6667 0.2603
0.6667 0.3333 0.8169
```

Formation energy (no corrections) (meV per atom): -865

---

# 3
The following is a DFT calculation (PBE) of a relaxed LuNiBiPd crystal.

Geometry as POSCAR:
```
LuNiBiPd
1.0
-1.9913 3.7467 -2.1684
-4.7413 0.2953 -0.3712
-2.3927 3.2353 2.5520
Ni Lu Bi Pd
1 1 1 1
direct
0.0000 0.0000 0.0000
0.7500 0.7500 0.7500
0.2500 0.2500 0.2500
0.5000 0.5000 0.5000
```

Energy of formation from the pure elements (eV per formula unit): -1.94

---

# 4
The following is a DFT calculation (PBE) of a relaxed NaTe2IO crystal.

Geometry as POSCAR:
```
NaTe2IO
1.0
4.5042 0.0000 0.0000
0.0000 4.5042 0.0000
0.0000 0.0000 8.1589
I Na Te O
1 1 2 1
direct
0.0000 0.0000 0.5000
0.5000 0.5000 0.5000
0.0000 0.5000 0.0000
0.5000 0.0000 0.0000
0.0000 0.0000 0.0000
```

Offset from the most stable computed form (eV per atom): 0.0000
Formation energy (no corrections) (meV per atom): -342

---

# 5
The following is a DFT calculation (PBE) of a relaxed HfTiInAu crystal.

Geometry as POSCAR:
```
HfTiInAu
1.0
4.8024 0.0000 0.0000
2.4012 4.1590 0.0000
2.4012 1.3863 3.9212
Hf Ti Au In
1 1 1 1
direct
0.7500 0.7500 0.7500
0.2500 0.2500 0.2500
0.0000 0.0000 0.0000
0.5000 0.5000 0.5000
```

Energy of formation from the pure elements (eV per formula unit): -0.72
Offset from the most stable computed form (eV per atom): 0.0958

---

# 6
The following is a DFT calculation (PBE) of a relaxed Tb3Dy6Ho2Tl crystal.

Geometry as POSCAR:
```
Tb3Dy6Ho2Tl
1.0
-4.2971 4.1436 -1.2462
2.3295 -3.4260 -4.4747
-7.4412 -8.1053 3.7306
Tb Dy Ho Tl
3 6 2 1
direct
0.1670 0.8330 0.5000
0.8330 0.1670 0.5000
0.5000 0.5000 0.5000
0.9189 0.5896 0.7534
0.7518 0.7518 0.2484
0.0811 0.4104 0.2466
0.5896 0.9189 0.7534
0.2482 0.2482 0.7516
0.4104 0.0811 0.2466
0.3342 0.6658 0.0000
0.6658 0.3342 0.0000
0.0000 0.0000 0.0000
```

Energy of formation from the pure elements (eV per formula unit): -0.16

---

# 7
The following is a DFT calculation (PBE) of a relaxed LiRh3Br crystal.

Geometry as POSCAR:
```
LiRh3Br
1.0
-1.4505 -0.8282 4.3007
2.2628 -4.0206 -0.0111
3.7499 2.1058 1.6703
Rh Br Li
3 1 1
direct
0.0000 0.5000 0.0000
0.0000 0.0000 0.5000
0.5000 0.0000 0.0000
0.0000 0.0000 0.0000
0.5000 0.5000 0.5000
```

Offset from the most stable computed form (eV per atom): 0.0000
Formation energy (no corrections) (meV per atom): 784

---

# 8
The following is a DFT calculation (PBE) of a relaxed LiSiIr2 crystal.

Geometry as POSCAR:
```
LiSiIr2
1.0
3.7739 0.0000 0.0000
0.0000 2.7982 0.3157
0.0000 0.9586 5.2546
Ir Li Si
2 1 1
direct
0.0000 0.8831 0.9899
0.0000 0.6169 0.5101
0.5000 0.2500 0.2500
0.5000 0.7500 0.7500
```

Formation energy (no corrections) (meV per atom): -381

---

Please write out number 4 again, unchanged.
The following is a DFT calculation (PBE) of a relaxed NaTe2IO crystal.

Geometry as POSCAR:
```
NaTe2IO
1.0
4.5042 0.0000 0.0000
0.0000 4.5042 0.0000
0.0000 0.0000 8.1589
I Na Te O
1 1 2 1
direct
0.0000 0.0000 0.5000
0.5000 0.5000 0.5000
0.0000 0.5000 0.0000
0.5000 0.0000 0.0000
0.0000 0.0000 0.0000
```

Offset from the most stable computed form (eV per atom): 0.0000
Formation energy (no corrections) (meV per atom): -342